No. 1
VASP calculation (GGA-PBE) on Zn3TcAg after structural relaxation.

```
data_Zn3TcAg
_symmetry_space_group_name_H-M 'P m -3 m'
_symmetry_Int_Tables_number 221
_symmetry_space_group_name_Hall '-P 4 2 3'
_cell_length_a 4.800
_cell_length_b 4.800
_cell_length_c 4.800
_cell_angle_alpha 90.00
_cell_angle_beta 90.00
_cell_angle_gamma 90.00
loop_
_atom_site_label
_atom_site_type_symbol
_atom_site_fract_x
_atom_site_fract_y
_atom_site_fract_z
_atom_site_occupancy
Zn1 Zn 0.000 0.000 0.500 1
Tc1 Tc 0.000 0.000 0.000 1
Ag1 Ag 0.500 0.500 0.500 1
```


No. 2
VASP calculation (GGA-PBE) on Zn4TcAg after structural relaxation.

```
data_Zn4TcAg
_symmetry_space_group_name_H-M 'F -4 3 m'
_symmetry_Int_Tables_number 216
_symmetry_space_group_name_Hall 'F -4 2 3'
_cell_length_a 7.088
_cell_length_b 7.088
_cell_length_c 7.088
_cell_angle_alpha 90.00
_cell_angle_beta 90.00
_cell_angle_gamma 90.00
loop_
_atom_site_label
_atom_site_type_symbol
_atom_site_fract_x
_atom_site_fract_y
_atom_site_fract_z
_atom_site_occupancy
Zn1 Zn 0.124 0.124 0.124 1
Tc1 Tc 0.250 0.250 0.750 1
Ag1 Ag 0.000 0.000 0.500 1
```


No. 3
VASP calculation (GGA-PBE) on ZnTc2Ag after structural relaxation.

```
data_ZnTc2Ag
_symmetry_space_group_name_H-M 'P 1 m 1'
_symmetry_Int_Tables_number 6
_cell_length_a 2.818
_cell_length_b 3.835
_cell_length_c 5.719
_cell_angle_alpha 90.00
_cell_angle_beta 91.63
_cell_angle_gamma 90.00
loop_
_symmetry_equiv_pos_as_xyz
'x,y,z'
'x,-y,z'
loop_
_atom_site_label
_atom_site_type_symbol
_atom_site_fract_x
_atom_site_fract_y
_atom_site_fract_z
_atom_site_occupancy
Zn1 Zn 0.000 0.000 0.000 1
Tc1 Tc 0.035 0.000 0.536 1
Tc2 Tc 0.471 0.500 0.726 1
Ag1 Ag 0.509 0.500 0.231 1
```


No. 4
VASP calculation (GGA-PBE) on ZnTc2Ag after structural relaxation.

```
data_ZnTc2Ag
_symmetry_space_group_name_H-M 'P 4 m m'
_symmetry_Int_Tables_number 99
_cell_length_a 2.940
_cell_length_b 2.940
_cell_length_c 7.258
_cell_angle_alpha 90.00
_cell_angle_beta 90.00
_cell_angle_gamma 90.00
loop_
_symmetry_equiv_pos_as_xyz
'x,y,z'
'-y,x,z'
'-x,-y,z'
'y,-x,z'
'-x,y,z'
'y,x,z'
'x,-y,z'
'-y,-x,z'
loop_
_atom_site_label
_atom_site_type_symbol
_atom_site_fract_x
_atom_site_fract_y
_atom_site_fract_z
_atom_site_occupancy
Zn1 Zn 0.000 0.000 0.000 1
Tc1 Tc 0.000 0.000 0.552 1
Tc2 Tc 0.500 0.500 0.751 1
Ag1 Ag 0.500 0.500 0.254 1
```


No. 5
VASP calculation (GGA-PBE) on ZnTc2Ag after structural relaxation.

```
data_ZnTc2Ag
_symmetry_space_group_name_H-M 'C 1 2/m 1'
_symmetry_Int_Tables_number 12
_cell_length_a 9.696
_cell_length_b 2.752
_cell_length_c 4.648
_cell_angle_alpha 90.00
_cell_angle_beta 101.73
_cell_angle_gamma 90.00
loop_
_symmetry_equiv_pos_as_xyz
'x,y,z'
'-x,-y,-z'
'-x,y,-z'
'x,-y,z'
'x+1/2,y+1/2,z'
'-x+1/2,-y+1/2,-z'
'-x+1/2,y+1/2,-z'
'x+1/2,-y+1/2,z'
loop_
_atom_site_label
_atom_site_type_symbol
_atom_site_fract_x
_atom_site_fract_y
_atom_site_fract_z
_atom_site_occupancy
Zn1 Zn 0.000 0.000 0.000 1
Tc1 Tc 0.242 0.500 0.242 1
Ag1 Ag 0.000 0.500 0.500 1
```


No. 6
VASP calculation (GGA-PBE) on ZnTc2Ag after structural relaxation.

```
data_ZnTc2Ag
_symmetry_space_group_name_H-M 'R -3 m'
_symmetry_Int_Tables_number 166
_symmetry_space_group_name_Hall '-R 3 2"'
_cell_length_a 2.7496
_cell_length_b 2.7496
_cell_length_c 27.9303
_cell_angle_alpha 90.00
_cell_angle_beta 90.00
_cell_angle_gamma 120.00
loop_
_atom_site_label
_atom_site_type_symbol
_atom_site_fract_x
_atom_site_fract_y
_atom_site_fract_z
_atom_site_occupancy
Zn1 Zn 0.0000 0.0000 0.0000 1
Tc1 Tc 0.0000 0.0000 0.2538 1
Ag1 Ag 0.0000 0.0000 0.5000 1
```


| no. | energy relative to the elements (eV/atom) |
| --- | --- |
| 1 | 0.840 |
| 2 | 0.210 |
| 3 | 0.212 |
| 4 | 0.119 |
| 5 | 0.346 |
| 6 | 0.396 |